PmGe2Pd4 after structural relaxation. Source: OQMD via LeMat-Bulk, functional PBE.

Cell lengths 7.9411, 7.9411, 3.9439 Å; angles 90.00, 90.00, 90.00 degrees
Fractional positions:
Ge  0.7209  0.2791  0.0000
Pd  0.9176  0.3322  0.5000
Pd  0.8322  0.5824  0.0000
Pd  0.6678  0.0824  0.5000
Ge  0.7791  0.7791  0.5000
Pd  0.4176  0.1678  0.0000
Pd  0.3322  0.9176  0.5000
Pm  0.5000  0.5000  0.5000
Pd  0.1678  0.4176  0.0000
Ge  0.2209  0.2209  0.5000
Pd  0.0824  0.6678  0.5000
Pd  0.5824  0.8322  0.0000
Ge  0.2791  0.7209  0.0000
Pm  0.0000  0.0000  0.0000

Calculated values
* calculated volume: 249 Å³ per cell
* SG: No. 136
* total magnetization: 0.001 μB per formula unit
* raw total energy: -5.6966 eV per atom